A plane-wave DFT calculation with PBE was carried out for a relaxed Ba3CdAg2 crystal.

Cell: 5.918 17.723 4.139 Å, 90.00 90.00 90.00°
Space group Cmmm (No. 65)
Symmetry-distinct sites (fractional):
Ba (0.000, 0.000, 0.000) x2
Ba (0.000, 0.330, 0.000) x4
Cd (0.000, 0.500, 0.500) x2
Ag (0.000, 0.163, 0.500) x4

VASP energy: -2.32 eV/atom
Density of states at the Fermi level: 0.999 states/eV per atom
Theoretical density: 5.66 Mg/m³
ΔE to the lowest computed polymorph: 0.3 kJ/mol of atoms
ΔH_f (0 K): -253 meV/atom


A plane-wave DFT calculation with PBE was carried out for a relaxed NiOsSeBr2 crystal.

Cell: 4.728 4.728 4.949 Å, 90.00 90.00 90.00°
Space group P4/mmm (No. 123)
Symmetry-distinct sites (fractional):
Ni (0.000, 0.000, 0.000) x1
Os (0.500, 0.500, 0.500) x1
Se (0.000, 0.000, 0.500) x1
Br (0.000, 0.500, 0.000) x2

VASP energy: -3.56 eV/atom
Density of states at the Fermi level: 1.150 states/eV per atom
Theoretical density: 7.32 Mg/m³
ΔE to the lowest computed polymorph: 24.4 kJ/mol of atoms
Formation energy from raw total energies: 1208 meV per atom